# 1
# TcOs2Pt PBE optimized geometry
data_TcOs2Pt
_space_group_name_H-M_alt 'F m -3 m'
_space_group_IT_number 225
_space_group_name_Hall '-F 4 2 3'
_cell_length_a 6.222
_cell_length_b 6.222
_cell_length_c 6.222
_cell_angle_alpha 90.00
_cell_angle_beta 90.00
_cell_angle_gamma 90.00
loop_
_atom_site_label
_atom_site_type_symbol
_atom_site_fract_x
_atom_site_fract_y
_atom_site_fract_z
_atom_site_occupancy
Tc1 Tc 0.000 0.000 0.000 1
Os1 Os 0.250 0.250 0.250 1
Pt1 Pt 0.000 0.000 0.500 1
# Total magnetization, Bohr magnetons per cell: 0.00
# Energy relative to the elements, eV per atom: 0.583
# Relative energy among the computed polymorphs, eV per atom: 0.554
# N(E_F), states/eV/f.u.: 4.05

---

# 2
# SrPrDy2 PBE optimized geometry
data_SrPrDy2
_space_group_name_H-M_alt 'R 3 m'
_space_group_IT_number 160
_space_group_name_Hall 'R 3 -2"'
_cell_length_a 3.7140
_cell_length_b 3.7140
_cell_length_c 36.6897
_cell_angle_alpha 90.00
_cell_angle_beta 90.00
_cell_angle_gamma 120.00
loop_
_atom_site_label
_atom_site_type_symbol
_atom_site_fract_x
_atom_site_fract_y
_atom_site_fract_z
_atom_site_occupancy
Sr1 Sr 0.0000 0.0000 0.0000 1
Pr1 Pr 0.0000 0.0000 0.1657 1
Dy1 Dy 0.0000 0.0000 0.5777 1
Dy2 Dy 0.0000 0.0000 0.7547 1
# Total magnetization, Bohr magnetons per cell: 0.00
# Energy relative to the elements, eV per atom: 0.120
# Relative energy among the computed polymorphs, eV per atom: 0.000
# N(E_F), states/eV/f.u.: 6.07

---

| no. | raw total energy (eV per atom) |
| --- | --- |
| 1 | -9.13 |
| 2 | -3.80 |